This record from Alexandria describes crystalline Ba6Pt2ICl3 at its relaxed geometry. The functional is PBE-GGA.

abc: 4.6004 9.9221 10.5083
angles: 103.72 102.64 90.00
Positions (direct):
Ba1 0.3189 0.8755 0.6379
Ba2 0.6741 0.5617 0.3482
Ba3 0.6811 0.1245 0.3621
Ba4 0.0147 0.2740 0.0294
Ba5 0.9853 0.7260 0.9706
Ba6 0.3259 0.4383 0.6518
Pt1 0.8316 0.6654 0.6632
Pt2 0.1684 0.3346 0.3368
I1 0.5000 0.0000 0.0000
Cl1 0.5000 0.5000 0.0000
Cl2 0.8458 0.1505 0.6915
Cl3 0.1542 0.8495 0.3085

Summary:
- Total magnetization: 0.000 μB per formula unit
- Calculated volume: 37.8 A^3/atom
- Fermi-level density of states: 0.48 states/eV per atom
- Formation energy (no corrections): -1.44 eV/atom